Entry from the Open Quantum Materials Database: an optimized crystal structure of TbGdNO (PBE).

```
TbGdNO
1.0
4.269 0.000 0.000
0.000 4.269 0.000
0.000 0.000 8.076
Gd N O Tb
2 2 2 2
direct
0.250 0.250 0.107
0.750 0.750 0.893
0.750 0.750 0.380
0.250 0.250 0.620
0.250 0.750 0.000
0.750 0.250 0.000
0.750 0.250 0.500
0.250 0.750 0.500
```

Output
**Relative energy among the computed polymorphs**: 0.473 eV/atom